No. 1
DFT (PBE-GGA) results for a relaxed structure of Ca2MgBeRe.

abc: 5.3591 5.3591 5.1484
angles: 90.00 90.00 90.00
Last column: nearest neighbours and their distance in Å.
Space group P4/mmm (No. 123)
Unique sites:
Ca 0.0000 0.5000 0.0000 (multiplicity 2)  2 Re 2.68
Mg 0.0000 0.0000 0.5000 (multiplicity 1)  2 Re 2.57
Be 0.5000 0.5000 0.5000 (multiplicity 1)  8 Ca 3.72, 4 Mg 3.79
Re 0.0000 0.0000 0.0000 (multiplicity 1)  2 Mg 2.57, 4 Ca 2.68

density of states at the Fermi level: 5.0 states/eV per cell
magnetization: 0.1 μB per cell
V: 147.9 Å³/cell
energy of formation from the pure elements: 1201 meV per atom



No. 2
DFT (PBE-GGA) results for a relaxed structure of Ca2MgBe3Si4.

abc: 4.0236 4.0236 10.1890
angles: 90.00 90.00 90.00
Last column: nearest neighbours and their distance in Å.
Space group P-4m2 (No. 115)
Unique sites:
Ca 0.0000 0.5000 0.2373 (multiplicity 2)  6 Be 3.06-3.35, 8 Si 3.06-3.15, 2 Mg 3.35
Mg 0.0000 0.0000 0.5000 (multiplicity 1)  4 Si 2.53
Be 0.0000 0.5000 0.8743 (multiplicity 2)  5 Si 2.27-2.38
Be 0.5000 0.5000 0.5000 (multiplicity 1)  4 Si 2.53
Si 0.0000 0.0000 0.0000 (multiplicity 1)  4 Be 2.38
Si 0.0000 0.5000 0.6511 (multiplicity 2)  3 Be 2.27-2.53, 2 Mg 2.53
Si 0.5000 0.5000 0.0000 (multiplicity 1)  4 Be 2.38

density of states at the Fermi level: 2.4 states/eV per cell
magnetization: 0.0 μB per cell
E_form (uncorrected): -0.204 eV/atom
V: 165.0 Å³/cell



No. 3
DFT (PBE-GGA) results for a relaxed structure of CaMgBeV2.

abc: 4.4326 4.4326 4.8566
angles: 90.00 90.00 90.00
Last column: nearest neighbours and their distance in Å.
Space group P4/mmm (No. 123)
Unique sites:
Ca 0.0000 0.0000 0.0000 (multiplicity 1)  4 V 2.22, 2 Be 2.43
Mg 0.5000 0.5000 0.5000 (multiplicity 1)  4 Be 3.13, 8 V 3.29
Be 0.0000 0.0000 0.5000 (multiplicity 1)  2 Ca 2.43
V 0.0000 0.5000 0.0000 (multiplicity 2)  2 Ca 2.22

density of states at the Fermi level: 5.2 states/eV per cell
magnetization: 0.0 μB per cell
V: 95.4 Å³/cell
energy of formation from the pure elements: 1963 meV per atom



No. 4
DFT (PBE-GGA) results for a relaxed structure of Ca2MnBe.

abc: 8.0440 8.0440 6.1574
angles: 90.00 90.00 90.00
Last column: nearest neighbours and their distance in Å.
Space group I-42d (No. 122)
Unique sites:
Ca 0.2220 0.2500 0.1250 (multiplicity 8)  2 Be 2.80, 2 Mn 3.10, 2 Ca 3.11
Mn 0.0000 0.0000 0.5000 (multiplicity 4)  2 Be 3.08, 4 Ca 3.10
Be 0.0000 0.0000 0.0000 (multiplicity 4)  4 Ca 2.80, 2 Mn 3.08

density of states at the Fermi level: 19.4 states/eV per cell
magnetization: 14.4 μB per cell
V: 398.4 Å³/cell
energy of formation from the pure elements: 798 meV per atom



No. 5
DFT (PBE-GGA) results for a relaxed structure of CaMnBe3.

abc: 4.2071 4.2071 4.2071
angles: 90.00 90.00 90.00
Last column: nearest neighbours and their distance in Å.
Space group Pm-3m (No. 221)
Unique sites:
Ca 0.0000 0.0000 0.0000 (multiplicity 1)  12 Be 2.97
Mn 0.5000 0.5000 0.5000 (multiplicity 1)  6 Be 2.10
Be 0.0000 0.5000 0.5000 (multiplicity 3)  2 Mn 2.10

density of states at the Fermi level: 3.5 states/eV per cell
magnetization: 0.1 μB per cell
V: 74.5 Å³/cell
energy of formation from the pure elements: 479 meV per atom



No. 6
DFT (PBE-GGA) results for a relaxed structure of CaMnBe4.

abc: 6.6117 6.6117 6.6117
angles: 90.00 90.00 90.00
Last column: nearest neighbours and their distance in Å.
Space group F-43m (No. 216)
Unique sites:
Ca 0.0000 0.0000 0.0000 (multiplicity 4)  12 Be 2.75, 4 Mn 2.86
Mn 0.2500 0.2500 0.7500 (multiplicity 4)  12 Be 2.73, 4 Ca 2.86
Be 0.1206 0.1206 0.3794 (multiplicity 16)  6 Be 2.25-2.42

density of states at the Fermi level: 4.0 states/eV per cell
magnetization: 12.1 μB per cell
V: 289.0 Å³/cell
energy of formation from the pure elements: 166 meV per atom